# 1
DFT (GGA-PBEsol) results for an optimized crystal structure of GaCu2RhF.

The calculation puts the total energy at -18.53 eV for the cell shown. The uncorrected formation energy is 0.71 eV per atom.

The structure belongs to space group P4/mmm (No. 123); the cell edges are 4.402, 4.402 and 4.522 Å and the angles 90.00°, 90.00° and 90.00°. The distinct sites, in fractional coordinates, are Ga at (0.000, 0.000, 0.000), Cu at (0.000, 0.500, 0.000), Rh at (0.000, 0.000, 0.500) and F at (0.500, 0.500, 0.500).

---

# 2
DFT (GGA-PBEsol) results for an optimized crystal structure of Si3Br2.

The calculation puts the total energy at -61.47 eV for the cell shown. The uncorrected formation energy is 0.10 eV per atom.

The structure belongs to space group R-3m (No. 166, hexagonal axes); the cell edges are 3.8537, 3.8537 and 30.4956 Å and the angles 90.00°, 90.00° and 120.00°. The distinct sites, in fractional coordinates, are Si at (0.0000, 0.0000, 0.0000), Si at (0.0000, 0.0000, 0.1587) and Br at (0.0000, 0.0000, 0.3855).

---

# 3
DFT (GGA-PBEsol) results for an optimized crystal structure of TlMo3Pb.

The calculation puts the formation energy at 2.53 eV/atom. The calculation puts the total energy at -29.29 eV for the cell shown.

The structure belongs to space group Pm-3m (No. 221); the cell edges are 4.957, 4.957 and 4.957 Å and the angles 90.00°, 90.00° and 90.00°. The distinct sites, in fractional coordinates, are Tl at (0.000, 0.000, 0.000), Mo at (0.000, 0.500, 0.500) and Pb at (0.500, 0.500, 0.500).